Below is CuAuBr2 after structural relaxation, with properties calculated at the PBE level.

Properties
Raw total energy   -10.29 eV per cell
Spin magnetization   0.000 Bohr magnetons per cell
Space-group type   P2/m (10)
Crystal system   monoclinic

Structure (POSCAR):
```
CuAuBr2
1.0
3.613 0.000 0.000
0.000 5.076 0.245
0.000 -0.319 5.848
Au Br Cu
1 2 1
direct
0.500 0.750 0.750 Au
0.000 0.030 0.021 Br
0.000 0.470 0.479 Br
0.500 0.250 0.250 Cu
```

Below is CuAuBr2 after structural relaxation, with properties calculated at the PBE level.

Properties
Raw total energy   -8.49 eV per cell
Spin magnetization   0.000 Bohr magnetons per cell
Space-group type   F-43m (216)
Crystal system   cubic

Structure (POSCAR):
```
CuAuBr2
1.0
-2.179 -0.384 -4.416
0.870 -3.940 -2.850
-3.549 -3.360 -0.719
Au Br Cu
1 2 1
direct
0.500 0.500 0.500 Au
0.000 0.000 0.000 Br
0.250 0.250 0.250 Br
0.750 0.750 0.750 Cu
```

Below is CuAuBr2 after structural relaxation, with properties calculated at the PBE level.

Properties
Raw total energy   -10.90 eV per cell
Spin magnetization   0.000 Bohr magnetons per cell
Space-group type   Cmm2 (35)
Crystal system   orthorhombic

Structure (POSCAR):
```
CuAuBr2
1.0
-0.305 -1.352 3.893
3.402 -0.277 -2.330
2.428 7.197 2.689
Br Cu Au
2 1 1
direct
0.000 0.000 0.933 Br
0.500 0.500 0.339 Br
0.000 0.000 0.509 Cu
0.500 0.500 0.719 Au
```

Below is CuAu2Br6 after structural relaxation, with properties calculated at the PBE level.

Properties
Raw total energy   -44.08 eV per cell
Spin magnetization   1.520 Bohr magnetons per cell
Space-group type   C2/c (15)
Crystal system   monoclinic

Structure (POSCAR):
```
CuAu2Br6
1.0
-3.802 -2.922 -5.442
-5.275 -9.458 1.370
-10.676 2.030 -1.024
Br Au Cu
12 4 2
direct
0.537 0.645 0.641 Br
0.037 0.641 0.645 Br
0.463 0.355 0.359 Br
0.798 0.964 0.287 Br
0.298 0.287 0.964 Br
0.322 0.969 0.288 Br
0.822 0.288 0.969 Br
0.702 0.713 0.036 Br
0.678 0.031 0.712 Br
0.178 0.712 0.031 Br
0.202 0.036 0.713 Br
0.963 0.359 0.355 Br
0.876 0.332 0.167 Au
0.124 0.668 0.833 Au
0.624 0.833 0.668 Au
0.376 0.167 0.332 Au
0.750 0.833 0.167 Cu
0.250 0.167 0.833 Cu
```

Below is CuAuBr2 after structural relaxation, with properties calculated at the PBE level.

Properties
Raw total energy   -10.20 eV per cell
Spin magnetization   0.000 Bohr magnetons per cell
Space-group type   Pmmm (47)
Crystal system   orthorhombic

Structure (POSCAR):
```
CuAuBr2
1.0
3.770 0.000 0.000
0.000 7.629 0.000
0.000 0.000 3.758
Cu Au Br
1 1 2
direct
0.500 0.000 0.500 Cu
0.000 0.500 0.500 Au
0.000 0.000 0.000 Br
0.500 0.500 0.000 Br
```

Below is CuAuBr2 after structural relaxation, with properties calculated at the PBE level.

Properties
Raw total energy   -10.28 eV per cell
Spin magnetization   0.000 Bohr magnetons per cell
Space-group type   Cmmm (65)
Crystal system   orthorhombic

Structure (POSCAR):
```
CuAuBr2
1.0
-1.556 2.517 -2.933
-1.907 -3.079 2.060
-2.201 5.034 5.487
Br Cu Au
2 1 1
direct
0.000 0.000 0.025 Br
0.000 0.000 0.475 Br
0.500 0.500 0.250 Cu
0.500 0.500 0.750 Au
```